# 1
PmTiS4 | PBE | relaxed

a = 6.175 Å, b = 7.110 Å, c = 7.135 Å
α = 115.29°, β = 110.54°, γ = 99.45°
Positions (direct):
Ti: 0.249 0.999 0.997
Ti: 0.751 0.001 0.003
S: 0.644 0.044 0.330
S: 0.999 0.790 0.123
S: 0.356 0.956 0.670
S: 0.376 0.667 0.877
S: 0.001 0.210 0.877
S: 0.186 0.286 0.330
S: 0.624 0.333 0.123
S: 0.814 0.714 0.670
Pm: 0.384 0.634 0.268
Pm: 0.616 0.366 0.732

Computed properties:
formation energy from raw total energies = -7.7 eV/f.u.
SG = No. 15
crystal system = monoclinic
N(E_F) = 6.01 states/eV/cell

---

# 2
CdHg3Bi3 | PBE | relaxed

a = 8.295 Å, b = 8.295 Å, c = 8.295 Å
α = 90.00°, β = 90.00°, γ = 90.00°
Positions (direct):
Bi: 0.000 0.750 0.500
Bi: 0.500 0.000 0.250
Bi: 0.000 0.250 0.500
Bi: 0.250 0.500 0.000
Bi: 0.500 0.000 0.750
Bi: 0.750 0.500 0.000
Hg: 0.500 0.750 0.000
Hg: 0.250 0.000 0.500
Hg: 0.000 0.500 0.750
Hg: 0.000 0.500 0.250
Hg: 0.750 0.000 0.500
Hg: 0.500 0.250 0.000
Cd: 0.000 0.000 0.000
Cd: 0.500 0.500 0.500

Computed properties:
formation enthalpy at 0 K = 0.36 eV/atom
SG = No. 223
crystal system = cubic
N(E_F) = 16.53 states/eV/cell

---

# 3
Zn2RhW | PBE | relaxed

a = 4.640 Å, b = 4.640 Å, c = 4.640 Å
α = 129.41°, β = 129.41°, γ = 74.36°
Positions (direct):
Zn: 0.250 0.750 0.500
Zn: 0.000 0.000 0.000
Rh: 0.500 0.500 0.000
W: 0.750 0.250 0.500

Computed properties:
formation enthalpy at 0 K = 0.10 eV/atom
SG = No. 119
crystal system = tetragonal
N(E_F) = 3.25 states/eV/cell

---

# 4
Si2SbPb | PBE | relaxed

a = 3.994 Å, b = 3.994 Å, c = 7.248 Å
α = 72.42°, β = 72.42°, γ = 62.10°
Positions (direct):
Sb: 0.250 0.250 0.250
Si: 0.996 0.996 0.019
Si: 0.504 0.504 0.481
Pb: 0.750 0.750 0.750

Computed properties:
formation energy from raw total energies = 1.6 eV/f.u.
SG = No. 12
crystal system = monoclinic
N(E_F) = 1.65 states/eV/cell

---

# 5
K4InHg3 | PBE | relaxed

a = 4.961 Å, b = 5.088 Å, c = 12.848 Å
α = 90.00°, β = 90.00°, γ = 90.00°
Positions (direct):
In: 0.500 0.500 0.057
Hg: 0.000 0.000 0.435
Hg: 0.000 0.500 0.567
Hg: 0.500 0.000 0.941
K: 0.000 0.000 0.150
K: 0.500 0.500 0.354
K: 0.000 0.500 0.848
K: 0.500 0.000 0.648

Computed properties:
formation enthalpy at 0 K = -0.19 eV/atom
SG = No. 25
crystal system = orthorhombic
N(E_F) = 4.12 states/eV/cell

---

# 6
Cd2Cu2Ge | PBE | relaxed

a = 3.425 Å, b = 3.425 Å, c = 8.377 Å
α = 78.20°, β = 78.20°, γ = 90.00°
Positions (direct):
Cd: 0.614 0.614 0.772
Cd: 0.386 0.386 0.228
Ge: 0.000 0.000 0.000
Cu: 0.750 0.250 0.500
Cu: 0.250 0.750 0.500

Computed properties:
formation enthalpy at 0 K = 0.20 eV/atom
SG = No. 139
crystal system = tetragonal
N(E_F) = 2.64 states/eV/cell

---

# 7
CaEr2Rh9 | PBE | relaxed

a = 5.267 Å, b = 5.267 Å, c = 9.229 Å
α = 73.42°, β = 73.42°, γ = 60.00°
Positions (direct):
Rh: 0.667 0.667 0.999
Rh: 0.333 0.333 0.001
Rh: 0.082 0.584 0.750
Rh: 0.500 0.500 0.500
Rh: 0.584 0.082 0.750
Rh: 0.416 0.416 0.250
Rh: 0.584 0.584 0.750
Rh: 0.416 0.918 0.250
Rh: 0.918 0.416 0.250
Er: 0.862 0.862 0.415
Er: 0.138 0.138 0.585
Ca: 0.000 0.000 0.000

Computed properties:
formation enthalpy at 0 K = -0.49 eV/atom
SG = No. 166
crystal system = trigonal
N(E_F) = 14.76 states/eV/cell

---

# 8
KAsCl2 | PBE | relaxed

a = 7.748 Å, b = 7.748 Å, c = 7.748 Å
α = 151.55°, β = 148.65°, γ = 42.84°
Positions (direct):
As: 0.237 0.737 0.500
Cl: 0.039 0.039 0.000
Cl: 0.755 0.255 0.500
K: 0.468 0.468 0.000

Computed properties:
formation energy from raw total energies = -2.3 eV/f.u.
SG = No. 44
crystal system = orthorhombic
N(E_F) = 1.59 states/eV/cell

---

# 9
Pm5Cd2Pt2 | PBE | relaxed

a = 8.083 Å, b = 7.733 Å, c = 8.990 Å
α = 115.47°, β = 90.00°, γ = 90.00°
Positions (direct):
Cd: 0.000 0.784 0.568
Cd: 0.000 0.216 0.432
Cd: 0.500 0.716 0.432
Cd: 0.500 0.284 0.568
Pm: 0.500 0.500 0.000
Pm: 0.175 0.209 0.759
Pm: 0.325 0.709 0.759
Pm: 0.675 0.051 0.759
Pm: 0.325 0.949 0.241
Pm: 0.000 0.000 0.000
Pm: 0.825 0.551 0.759
Pm: 0.175 0.449 0.241
Pm: 0.825 0.791 0.241
Pm: 0.675 0.291 0.241
Pt: 0.629 0.870 0.000
Pt: 0.371 0.130 0.000
Pt: 0.129 0.630 0.000
Pt: 0.871 0.370 0.000

Computed properties:
formation enthalpy at 0 K = -0.63 eV/atom
SG = No. 64
crystal system = orthorhombic
N(E_F) = 17.51 states/eV/cell

---

# 10
SmInNi | PBE | relaxed

a = 4.561 Å, b = 4.561 Å, c = 3.724 Å
α = 90.00°, β = 90.00°, γ = 120.00°
Positions (direct):
In: 0.000 0.000 0.000
Ni: 0.333 0.667 0.000
Sm: 0.667 0.333 0.500

Computed properties:
formation enthalpy at 0 K = -0.35 eV/atom
SG = No. 187
crystal system = hexagonal
N(E_F) = 1.89 states/eV/cell

---

# 11
Dy5Os2Pt | PBE | relaxed

a = 7.442 Å, b = 7.442 Å, c = 8.725 Å
α = 115.24°, β = 115.24°, γ = 90.00°
Positions (direct):
Dy: 0.316 0.816 0.280
Dy: 0.536 0.684 0.720
Dy: 0.500 0.500 0.000
Dy: 0.464 0.316 0.280
Dy: 0.000 0.000 0.000
Dy: 0.184 0.036 0.720
Dy: 0.036 0.536 0.720
Dy: 0.816 0.964 0.280
Dy: 0.684 0.184 0.720
Dy: 0.964 0.464 0.280
Os: 0.621 0.121 0.000
Os: 0.879 0.621 0.000
Os: 0.379 0.879 0.000
Os: 0.121 0.379 0.000
Pt: 0.250 0.250 0.500
Pt: 0.750 0.750 0.500

Computed properties:
formation enthalpy at 0 K = -0.51 eV/atom
SG = No. 140
crystal system = tetragonal
N(E_F) = 12.77 states/eV/cell

---

# 12
Tb12YSc6 | PBE | relaxed

a = 9.061 Å, b = 9.061 Å, c = 9.061 Å
α = 107.60°, β = 107.60°, γ = 107.60°
Positions (direct):
Tb: 0.625 0.848 0.625
Tb: 0.375 0.152 0.375
Tb: 0.625 0.625 0.848
Tb: 0.152 0.375 0.375
Tb: 0.112 0.500 0.888
Tb: 0.375 0.375 0.152
Tb: 0.500 0.888 0.112
Tb: 0.112 0.888 0.500
Tb: 0.888 0.500 0.112
Tb: 0.500 0.112 0.888
Tb: 0.848 0.625 0.625
Tb: 0.888 0.112 0.500
Sc: 0.727 0.312 0.312
Sc: 0.688 0.688 0.273
Sc: 0.688 0.273 0.688
Sc: 0.312 0.312 0.727
Sc: 0.273 0.688 0.688
Sc: 0.312 0.727 0.312
Y: 0.000 0.000 0.000

Computed properties:
formation enthalpy at 0 K = 0.43 eV/atom
SG = No. 166
crystal system = trigonal
N(E_F) = 27.44 states/eV/cell

---

# 13
Tb2Ga6Au3 | PBE | relaxed

a = 4.154 Å, b = 7.865 Å, c = 7.865 Å
α = 120.00°, β = 90.00°, γ = 90.00°
Positions (direct):
Tb: 0.000 0.667 0.333
Tb: 0.000 0.333 0.667
Ga: 0.500 0.000 0.303
Ga: 0.500 0.303 0.000
Ga: 0.000 0.812 0.000
Ga: 0.000 0.188 0.188
Ga: 0.500 0.697 0.697
Ga: 0.000 0.000 0.812
Au: 0.500 0.000 0.624
Au: 0.500 0.376 0.376
Au: 0.500 0.624 0.000

Computed properties:
formation enthalpy at 0 K = -0.52 eV/atom
SG = No. 189
crystal system = hexagonal
N(E_F) = 2.42 states/eV/cell

---

# 14
K2CaVBr6 | PBE | relaxed

a = 7.738 Å, b = 7.758 Å, c = 10.959 Å
α = 90.00°, β = 90.00°, γ = 90.00°
Positions (direct):
Ca: 0.000 0.749 0.500
Ca: 0.500 0.251 0.000
K: 0.000 0.249 0.746
K: 0.500 0.751 0.246
K: 0.500 0.751 0.754
K: 0.000 0.249 0.254
Br: 0.240 0.511 0.000
Br: 0.760 0.511 0.000
Br: 0.000 0.751 0.240
Br: 0.760 0.990 0.000
Br: 0.740 0.489 0.500
Br: 0.260 0.489 0.500
Br: 0.500 0.249 0.260
Br: 0.260 0.010 0.500
Br: 0.500 0.249 0.740
Br: 0.240 0.990 0.000
Br: 0.000 0.751 0.760
Br: 0.740 0.010 0.500
V: 0.000 0.751 0.000
V: 0.500 0.249 0.500

Computed properties:
formation energy from raw total energies = -15.0 eV/f.u.
SG = No. 59
crystal system = orthorhombic

---

# 15
KTa2Cu | PBE | relaxed

a = 5.643 Å, b = 2.813 Å, c = 5.269 Å
α = 82.83°, β = 90.00°, γ = 90.00°
Positions (direct):
K: 0.500 0.750 0.750
Ta: 0.000 0.024 0.025
Ta: 0.000 0.476 0.475
Cu: 0.500 0.250 0.250

Computed properties:
formation enthalpy at 0 K = 1.09 eV/atom
SG = No. 10
crystal system = monoclinic
N(E_F) = 2.98 states/eV/cell

---

# 16
TbCe4 | PBE | relaxed

a = 5.642 Å, b = 5.642 Å, c = 5.642 Å
α = 90.00°, β = 90.00°, γ = 90.00°
Positions (direct):
Tb: 0.500 0.500 0.500
Ce: 0.500 0.500 0.000
Ce: 0.000 0.500 0.500
Ce: 0.500 0.000 0.500
Ce: 0.000 0.000 0.000

Computed properties:
formation enthalpy at 0 K = 0.83 eV/atom
SG = No. 221
crystal system = cubic
N(E_F) = 23.51 states/eV/cell

---

# 17
CoReCl2 | PBE | relaxed

a = 4.389 Å, b = 4.388 Å, c = 2.982 Å
α = 90.00°, β = 90.00°, γ = 90.05°
Positions (direct):
Cl: 0.500 0.500 0.000
Cl: 0.000 0.000 0.000
Re: 0.000 0.500 0.500
Co: 0.500 0.000 0.500

Computed properties:
formation energy from raw total energies = 4.7 eV/f.u.
SG = No. 123
crystal system = tetragonal
N(E_F) = 4.82 states/eV/cell

---

# 18
YIn2Rh | PBE | relaxed

a = 5.954 Å, b = 5.954 Å, c = 5.954 Å
α = 146.41°, β = 129.65°, γ = 61.89°
Positions (direct):
In: 0.966 0.966 0.000
In: 0.534 0.534 0.000
Rh: 0.750 0.250 0.500
Y: 0.250 0.750 0.500

Computed properties:
formation enthalpy at 0 K = -0.41 eV/atom
SG = No. 71
crystal system = orthorhombic
N(E_F) = 2.89 states/eV/cell

---

# 19
K2InHgW | PBE | relaxed

a = 6.299 Å, b = 5.482 Å, c = 6.299 Å
α = 90.00°, β = 90.00°, γ = 90.00°
Positions (direct):
In: 0.000 0.500 0.000
Hg: 0.000 0.000 0.000
W: 0.500 0.500 0.500
K: 0.000 0.000 0.500
K: 0.500 0.000 0.000

Computed properties:
formation enthalpy at 0 K = 1.35 eV/atom
SG = No. 123
crystal system = tetragonal
N(E_F) = 3.74 states/eV/cell

---

# 20
AcPrDyTm | PBE | relaxed

a = 5.865 Å, b = 5.865 Å, c = 5.865 Å
α = 60.00°, β = 60.00°, γ = 60.00°
Positions (direct):
Ac: 0.750 0.750 0.750
Pr: 0.250 0.250 0.250
Tm: 0.000 0.000 0.000
Dy: 0.500 0.500 0.500

Computed properties:
formation enthalpy at 0 K = 0.10 eV/atom
SG = No. 216
crystal system = cubic
N(E_F) = 7.04 states/eV/cell

---

| no. | V (Å³/cell) | total energy (eV/atom) |
| --- | --- | --- |
| 1 | 246 | -6.139 |
| 2 | 571 | -1.567 |
| 3 | 58 | -5.618 |
| 4 | 96 | -4.259 |
| 5 | 324 | -1.194 |
| 6 | 94 | -2.730 |
| 7 | 209 | -6.926 |
| 8 | 115 | -2.934 |
| 9 | 507 | -4.816 |
| 10 | 67 | -4.765 |
| 11 | 385 | -6.945 |
| 12 | 609 | -4.833 |
| 13 | 223 | -3.911 |
| 14 | 658 | -3.831 |
| 15 | 83 | -6.138 |
| 16 | 180 | -4.845 |
| 17 | 57 | -4.643 |
| 18 | 89 | -5.231 |
| 19 | 218 | -2.283 |
| 20 | 143 | -4.386 |